No. 1
! Dy5ZnRh6 (PBE, relaxed); values from VASP
&SYSTEM
  ibrav = 0, nat = 12, ntyp = 3
/
ATOMIC_SPECIES
Zn 65.41 Zn.upf
Rh 102.91 Rh.upf
Dy 162.50 Dy.upf
CELL_PARAMETERS angstrom
-3.7717 -2.3940 1.5046
3.6400 -5.7724 -0.0590
1.8700 -2.9316 7.4373
ATOMIC_POSITIONS crystal
Zn 0.0000 0.0000 0.0000
Rh 0.8358 0.5867 0.3284
Rh 0.8358 0.0849 0.3284
Rh 0.5000 0.7406 0.0000
Rh 0.5000 0.2594 0.0000
Rh 0.1642 0.9151 0.6716
Rh 0.1642 0.4133 0.6716
Dy 0.6510 0.1512 0.6976
Dy 0.3273 0.3275 0.3450
Dy 0.0000 0.5000 0.0000
Dy 0.6727 0.6725 0.6550
Dy 0.3490 0.8488 0.3024
! space group	C2/m, No. 12
! energy of formation	-9.60	eV per formula unit

No. 2
! BeC2 (PBE, relaxed); values from VASP
&SYSTEM
  ibrav = 0, nat = 3, ntyp = 2
/
ATOMIC_SPECIES
Be 9.01 Be.upf
C 12.01 C.upf
CELL_PARAMETERS angstrom
-1.6781 2.2488 1.1845
-0.8241 -2.9011 0.4248
1.5438 -0.0926 2.3627
ATOMIC_POSITIONS crystal
Be 0.3333 0.6667 0.5000
C 0.0000 0.0000 0.7529
C 0.0000 0.0000 0.2471
! space group	P-6m2, No. 187
! energy of formation	3.26	eV per formula unit
! offset from the most stable computed form	702	meV/atom

No. 3
! Tb5Y5Er2 (PBE, relaxed); values from VASP
&SYSTEM
  ibrav = 0, nat = 12, ntyp = 3
/
ATOMIC_SPECIES
Tb 158.93 Tb.upf
Y 88.91 Y.upf
Er 167.26 Er.upf
CELL_PARAMETERS angstrom
5.0305 0.0000 0.0000
-2.5152 7.5257 -0.4512
0.0000 -4.4148 10.3405
ATOMIC_POSITIONS crystal
Tb 0.5000 0.0000 0.5000
Tb 0.6668 0.3337 0.9998
Tb 0.5822 0.1644 0.2497
Tb 0.4178 0.8356 0.7503
Tb 0.3332 0.6663 0.0002
Y 0.1659 0.3319 0.4998
Y 0.7492 0.4984 0.7499
Y 0.2508 0.5016 0.2501
Y 0.8341 0.6681 0.5002
Y 0.0000 0.0000 0.0000
Er 0.0834 0.1669 0.7508
Er 0.9166 0.8331 0.2492
! space group	C2/m, No. 12
! energy of formation	0.25	eV per formula unit
! offset from the most stable computed form	0	meV/atom

No. 4
! Er3Zn3Hg (PBE, relaxed); values from VASP
&SYSTEM
  ibrav = 0, nat = 7, ntyp = 3
/
ATOMIC_SPECIES
Er 167.26 Er.upf
Zn 65.41 Zn.upf
Hg 200.59 Hg.upf
CELL_PARAMETERS angstrom
4.3867 0.0000 -0.9570
-0.1777 3.5056 -0.8143
-0.0853 0.4996 10.1413
ATOMIC_POSITIONS crystal
Er 0.3016 0.8016 0.6032
Er 0.6940 0.1940 0.3879
Er 0.0058 0.0058 0.0116
Zn 0.1414 0.6414 0.2828
Zn 0.8518 0.3518 0.7036
Zn 0.5714 0.5714 0.1428
Hg 0.4341 0.4341 0.8681
! space group	Imm2, No. 44
! energy of formation	-2.29	eV per formula unit

No. 5
! K2Ce2MnSe6 (PBE, relaxed); values from VASP
&SYSTEM
  ibrav = 0, nat = 11, ntyp = 4
/
ATOMIC_SPECIES
K 39.10 K.upf
Ce 140.12 Ce.upf
Mn 54.94 Mn.upf
Se 78.96 Se.upf
CELL_PARAMETERS angstrom
7.1525 -0.0225 0.0695
-3.5547 6.2066 0.0695
-1.2739 -2.1896 7.7706
ATOMIC_POSITIONS crystal
K 0.8326 0.1674 0.0000
K 0.1674 0.8326 0.0000
Ce 0.3338 0.6662 0.5000
Ce 0.6662 0.3338 0.5000
Mn 0.0000 0.0000 0.5000
Se 0.7514 0.7514 0.6927
Se 0.0656 0.3886 0.6968
Se 0.2486 0.2486 0.3073
Se 0.3886 0.0656 0.6968
Se 0.9344 0.6114 0.3032
Se 0.6114 0.9344 0.3032
! space group	C2/m, No. 12
! uncorrected formation energy	-1.3382	eV/atom

No. 6
! Nd5Tc2Hg2 (PBE, relaxed); values from VASP
&SYSTEM
  ibrav = 0, nat = 18, ntyp = 3
/
ATOMIC_SPECIES
Nd 144.24 Nd.upf
Tc 98.00 Tc.upf
Hg 200.59 Hg.upf
CELL_PARAMETERS angstrom
-3.1206 5.6605 4.0613
3.3599 -2.7035 6.3497
5.2834 7.7105 0.4872
ATOMIC_POSITIONS crystal
Nd 0.0000 0.0000 0.0000
Nd 0.5000 0.5000 0.0000
Nd 0.4444 0.1810 0.7470
Nd 0.8086 0.8190 0.7470
Nd 0.3086 0.6810 0.7470
Nd 0.9444 0.3190 0.7470
Nd 0.5556 0.8190 0.2530
Nd 0.1914 0.1810 0.2530
Nd 0.6914 0.3190 0.2530
Nd 0.0556 0.6810 0.2530
Tc 0.1114 0.3934 0.0000
Tc 0.8886 0.6066 0.0000
Tc 0.3886 0.8934 0.0000
Tc 0.6114 0.1066 0.0000
Hg 0.2227 0.0000 0.5545
Hg 0.7227 0.5000 0.5545
Hg 0.7773 0.0000 0.4455
Hg 0.2773 0.5000 0.4455
! space group	Cmce, No. 64
! energy of formation	-1.38	eV per formula unit

No. 7
! Ca2MgHg3 (PBE, relaxed); values from VASP
&SYSTEM
  ibrav = 0, nat = 12, ntyp = 3
/
ATOMIC_SPECIES
Ca 40.08 Ca.upf
Mg 24.30 Mg.upf
Hg 200.59 Hg.upf
CELL_PARAMETERS angstrom
-4.6022 1.9596 -1.4083
1.8913 -4.1898 -2.4233
-5.8782 -7.6261 8.5976
ATOMIC_POSITIONS crystal
Ca 0.0000 0.0000 0.5000
Ca 0.3333 0.6667 0.1755
Ca 0.6667 0.3333 0.8245
Ca 0.0000 0.0000 0.0000
Mg 0.3333 0.6667 0.6642
Mg 0.6667 0.3333 0.3358
Hg 0.3333 0.6667 0.4199
Hg 0.6667 0.3333 0.0921
Hg 0.0000 0.0000 0.7473
Hg 0.0000 0.0000 0.2527
Hg 0.3333 0.6667 0.9079
Hg 0.6667 0.3333 0.5801
! space group	P-3m1, No. 164
! energy of formation	-2.75	eV per formula unit
! offset from the most stable computed form	0	meV/atom

No. 8
! CrN2 (PBE, relaxed); values from VASP
&SYSTEM
  ibrav = 0, nat = 6, ntyp = 2
/
ATOMIC_SPECIES
Cr 52.00 Cr.upf
N 14.01 N.upf
CELL_PARAMETERS angstrom
5.5331 -0.6054 -0.4113
1.2889 -2.3995 4.8716
-3.8266 -1.6452 -3.7150
ATOMIC_POSITIONS crystal
Cr 0.7500 0.0000 0.7500
Cr 0.2500 0.0000 0.2500
N 0.0996 0.2773 0.1777
N 0.9004 0.7227 0.8223
N 0.5996 0.9219 0.3223
N 0.4004 0.0781 0.6777
! space group	Ibam, No. 72
! uncorrected formation energy	0.3898	eV/atom

No. 9
! Li2Y2HoGa2 (PBE, relaxed); values from VASP
&SYSTEM
  ibrav = 0, nat = 7, ntyp = 4
/
ATOMIC_SPECIES
Li 6.94 Li.upf
Y 88.91 Y.upf
Ho 164.93 Ho.upf
Ga 69.72 Ga.upf
CELL_PARAMETERS angstrom
-3.0856 -3.3192 0.6064
0.2842 -2.7478 3.6434
-6.0596 3.5891 6.0485
ATOMIC_POSITIONS crystal
Li 0.6045 0.6045 0.1864
Li 0.3955 0.3955 0.8136
Y 0.1253 0.1253 0.6241
Y 0.8747 0.8747 0.3759
Ho 0.0000 0.0000 0.0000
Ga 0.7370 0.7370 0.7890
Ga 0.2630 0.2630 0.2110
! space group	R-3m, No. 166
! energy of formation	-2.02	eV per formula unit

No. 10
! InB3O (PBE, relaxed); values from VASP
&SYSTEM
  ibrav = 0, nat = 5, ntyp = 3
/
ATOMIC_SPECIES
B 10.81 B.upf
O 16.00 O.upf
In 114.82 In.upf
CELL_PARAMETERS angstrom
4.4637 0.0000 0.0000
0.0000 4.4637 0.0000
0.0000 0.0000 4.4637
ATOMIC_POSITIONS crystal
B 0.0000 0.5000 0.0000
B 0.0000 0.0000 0.5000
B 0.5000 0.0000 0.0000
O 0.5000 0.5000 0.5000
In 0.0000 0.0000 0.0000
! space group	Pm-3m, No. 221
! uncorrected formation energy	2.6065	eV/atom
! offset from the most stable computed form	930	meV/atom

No. 11
! Tb7Tm2Mg (PBE, relaxed); values from VASP
&SYSTEM
  ibrav = 0, nat = 10, ntyp = 3
/
ATOMIC_SPECIES
Tb 158.93 Tb.upf
Tm 168.93 Tm.upf
Mg 24.30 Mg.upf
CELL_PARAMETERS angstrom
-5.3543 0.8804 0.0667
-1.3446 -7.8318 -4.5578
0.2030 0.5412 9.1425
ATOMIC_POSITIONS crystal
Tb 0.0000 0.7920 0.2080
Tb 0.0000 0.2080 0.7920
Tb 0.5000 0.0686 0.2875
Tb 0.5000 0.9314 0.7125
Tb 0.5000 0.2875 0.0686
Tb 0.5000 0.7125 0.9314
Tb 0.5000 0.5000 0.5000
Tm 0.5000 0.7062 0.2938
Tm 0.5000 0.2938 0.7062
Mg 0.0000 0.0000 0.0000
! space group	Cmmm, No. 65
! energy of formation	6.62	eV per formula unit

No. 12
! PaAlGa2Ni4 (PBE, relaxed); values from VASP
&SYSTEM
  ibrav = 0, nat = 8, ntyp = 4
/
ATOMIC_SPECIES
Pa 231.04 Pa.upf
Al 26.98 Al.upf
Ga 69.72 Ga.upf
Ni 58.69 Ni.upf
CELL_PARAMETERS angstrom
4.0636 0.0000 0.0000
2.0318 3.5192 0.0000
2.0318 1.1731 8.0614
ATOMIC_POSITIONS crystal
Pa 0.0000 0.0000 0.0000
Al 0.5000 0.5000 0.5000
Ga 0.7594 0.7594 0.7219
Ga 0.2406 0.2406 0.2781
Ni 0.3990 0.3990 0.8030
Ni 0.8675 0.8675 0.3975
Ni 0.1325 0.1325 0.6025
Ni 0.6010 0.6010 0.1970
! space group	R-3m, No. 166
! energy of formation	-3.77	eV per formula unit

| no. | E_tot (eV per atom) |
| --- | --- |
| 1 | -6.50 |
| 2 | -6.30 |
| 3 | -5.36 |
| 4 | -2.87 |
| 5 | -5.35 |
| 6 | -5.17 |
| 7 | -1.54 |
| 8 | -8.37 |
| 9 | -4.20 |
| 10 | -2.94 |
| 11 | -3.63 |
| 12 | -5.77 |